! Ba2TaRu PBE-GGA relaxed; values from VASP
! space-group type = Cmmm
! energy relative to the lowest polymorph listed for this composition = 983 meV/atom
! total moment = 0.0 μB/f.u.
&SYSTEM
  ibrav = 0, nat = 4, ntyp = 3
/
ATOMIC_SPECIES
Ba 137.33 Ba.upf
Ru 101.07 Ru.upf
Ta 180.95 Ta.upf
CELL_PARAMETERS angstrom
-5.368 3.941 -1.617
-0.272 -2.681 5.495
-0.295 2.974 1.438
ATOMIC_POSITIONS crystal
Ba 0.000 0.000 0.000
Ba 0.500 0.000 0.500
Ru 0.000 0.500 0.500
Ta 0.500 0.500 0.000